# PBE-GGA RbUBeSe4, relaxed
# **Total energy**: -74.2 eV per cell
# **Formation energy without anion corrections**: -7.169 eV/f.u.
# **ρ**: 5.636 Mg/m³
data_RbUBeSe4
_chemical_formula_sum 'Rb2 U2 Be2 Se8'
_cell_length_a 6.421
_cell_length_b 6.634
_cell_length_c 9.517
_cell_angle_alpha 90.00
_cell_angle_beta 109.55
_cell_angle_gamma 90.00
_space_group_name_H-M_alt 'P 1'
_space_group_IT_number 1
_space_group_name_Hall 'P 1'
loop_
_atom_site_label
_atom_site_type_symbol
_atom_site_fract_x
_atom_site_fract_y
_atom_site_fract_z
_atom_site_occupancy
Rb1 Rb 0.746 0.750 0.948 1
Rb2 Rb 0.254 0.250 0.052 1
U1 U 0.764 0.750 0.446 1
U2 U 0.236 0.250 0.554 1
Be1 Be 0.226 0.750 0.344 1
Be2 Be 0.774 0.250 0.656 1
Se1 Se 0.016 0.507 0.698 1
Se2 Se 0.984 0.007 0.302 1
Se3 Se 0.984 0.493 0.302 1
Se4 Se 0.016 0.993 0.698 1
Se5 Se 0.411 0.750 0.185 1
Se6 Se 0.589 0.250 0.815 1
Se7 Se 0.441 0.750 0.579 1
Se8 Se 0.559 0.250 0.421 1